The following is a DFT calculation (GGA-PBE) of a geometry-optimized Li6LaGa2 structure.

The structure belongs to space group P4/mmm (No. 123); the cell edges are 4.3694, 4.3694 and 9.8254 Å and the angles 90.00°, 90.00° and 90.00°. Symmetry generates all atoms from Li at (0.0000, 0.0000, 0.0000), Li at (0.0000, 0.5000, 0.2097), Li at (0.5000, 0.5000, 0.0000), La at (0.0000, 0.0000, 0.5000) and Ga at (0.5000, 0.5000, 0.3714).

Its total energy is -0.1984 Ry per atom. Its formation enthalpy at 0 K is -19.7 kJ/mol of atoms.



The following is a DFT calculation (GGA-PBE) of a geometry-optimized LiLa3Ga2 structure.

The structure belongs to space group P4/mmm (No. 123); the cell edges are 3.7743, 3.7743 and 11.7390 Å and the angles 90.00°, 90.00° and 90.00°. Symmetry generates all atoms from Li at (0.0000, 0.0000, 0.0000), La at (0.5000, 0.5000, 0.1861), La at (0.5000, 0.5000, 0.5000) and Ga at (0.0000, 0.0000, 0.3343).

The offset from the most stable computed form comes out at 0.022 eV per atom. Its total energy is -0.3059 Ry per atom. Its formation enthalpy at 0 K is -35.7 kJ/mol of atoms.



The following is a DFT calculation (GGA-PBE) of a geometry-optimized Li2La3Ga9 structure.

The structure belongs to space group Immm (No. 71); the cell edges are 4.4344, 9.6510 and 13.4222 Å and the angles 90.00°, 90.00° and 90.00°. Symmetry generates all atoms from Li at (0.0000, 0.2038, 0.0000), La at (0.0000, 0.0000, 0.1890), La at (0.0000, 0.0000, 0.5000), Ga at (0.0000, 0.2745, 0.3610), Ga at (0.0000, 0.3657, 0.1646) and Ga at (0.0000, 0.5000, 0.5000).

Its total energy is -0.2824 Ry per atom. Its formation enthalpy at 0 K is -54.7 kJ/mol of atoms.



The following is a DFT calculation (GGA-PBE) of a geometry-optimized LiLa4Ga3 structure.

The structure belongs to space group I4/mmm (No. 139); the cell edges are 5.3200, 5.3200 and 15.3483 Å and the angles 90.00°, 90.00° and 90.00°. Symmetry generates all atoms from Li at (0.0000, 0.0000, 0.0000), La at (0.0000, 0.5000, 0.1292), Ga at (0.0000, 0.0000, 0.2463) and Ga at (0.0000, 0.0000, 0.5000).

Its total energy is -0.3142 Ry per atom. Its formation enthalpy at 0 K is -42.2 kJ/mol of atoms.



The following is a DFT calculation (GGA-PBE) of a geometry-optimized LiLaGa3 structure.

The structure belongs to space group Cmcm (No. 63); the cell edges are 4.3012, 24.5830 and 4.2984 Å and the angles 90.00°, 90.00° and 90.00°. Symmetry generates all atoms from Li at (0.0000, 0.2054, 0.2500), La at (0.0000, 0.0773, 0.7500), Ga at (0.0000, 0.3159, 0.2500), Ga at (0.0000, 0.3710, 0.7500) and Ga at (0.0000, 0.4741, 0.7500).

The offset from the most stable computed form comes out at 0.000 eV per atom. Its total energy is -0.2665 Ry per atom. Its formation enthalpy at 0 K is -42.6 kJ/mol of atoms.



The following is a DFT calculation (GGA-PBE) of a geometry-optimized LiLa3Ga2 structure.

The structure belongs to space group P-3m1 (No. 164); the cell edges are 5.3653, 5.3653 and 13.1000 Å and the angles 90.00°, 90.00° and 120.00°. Symmetry generates all atoms from Li at (0.3333, 0.6667, 0.1747), La at (0.0000, 0.0000, 0.2581), La at (0.3333, 0.6667, 0.4249), La at (0.3333, 0.6667, 0.9193), Ga at (0.0000, 0.0000, 0.0000), Ga at (0.0000, 0.0000, 0.5000) and Ga at (0.3333, 0.6667, 0.6796).

The offset from the most stable computed form comes out at 0.000 eV per atom. Its total energy is -0.3075 Ry per atom. Its formation enthalpy at 0 K is -37.8 kJ/mol of atoms.